A relaxed structure of PmPrCl2O2, computed with PBE.

Computed properties:
VASP energy ... -6.891 eV/atom

The structure in POSCAR format:
```
PmPrCl2O2
1.0
-1.184 1.772 -3.448
-3.533 -1.978 0.197
-2.675 5.132 3.557
Cl O Pm Pr
2 2 1 1
Direct
0.500 0.500 0.371
0.000 0.000 0.627
0.500 0.000 0.003
0.000 0.500 0.003
0.000 0.000 0.172
0.500 0.500 0.823
```

A relaxed structure of Al9Re4, computed with PBE.

Computed properties:
VASP energy ... -6.381 eV/atom
Energy above the lowest structure with this stoichiometry ... 0.000 eV/atom

The structure in POSCAR format:
```
Al9Re4
1.0
-0.109 -7.561 5.803
4.336 -7.719 3.530
3.641 -4.702 7.449
Al Re
9 4
Direct
0.000 0.000 0.000
0.084 0.583 0.084
0.583 0.084 0.084
0.352 0.352 0.352
0.916 0.916 0.417
0.084 0.084 0.583
0.648 0.648 0.648
0.417 0.916 0.916
0.916 0.417 0.916
0.166 0.166 0.166
0.453 0.453 0.453
0.547 0.547 0.547
0.834 0.834 0.834
```

A relaxed structure of Li2Zn2Ga2NiPt, computed with PBE.

Computed properties:
VASP energy ... -3.479 eV/atom

The structure in POSCAR format:
```
Li2Zn2Ga2NiPt
1.0
-0.376 -2.918 -3.048
-2.740 -2.158 2.404
-4.540 3.092 -2.400
Ga Li Ni Pt Zn
2 2 1 1 2
Direct
0.000 0.500 0.266
0.500 0.000 0.734
0.000 0.000 0.000
0.500 0.500 0.500
0.000 0.000 0.500
0.500 0.500 0.000
0.500 0.000 0.265
0.000 0.500 0.735
```